Here is crystalline Na2HfS3 at its relaxed geometry from the Open Quantum Materials Database. Energies are from PBE-GGA.

Unit cell a=13.7021 b=3.7715 c=11.3248 alpha=90.00 beta=90.00 gamma=90.00
Last column: nearest neighbours and their distance in Å.
Space group Pnma (No. 62)
Unique sites:
Na  0.0451  0.2500  0.0837 (multiplicity 4)  4 S 2.53-2.75
Na  0.2305  0.7500  0.9172 (multiplicity 4)  3 S 2.59-2.81
Hf  0.0043  0.2500  0.6523 (multiplicity 4)  6 S 2.51-2.74
S  0.0894  0.2500  0.8485 (multiplicity 4)  1 Hf 2.51, 5 Na 2.73-2.81
S  0.1043  0.7500  0.5510 (multiplicity 4)  3 Hf 2.60-2.74
S  0.1110  0.2500  0.2922 (multiplicity 4)  2 Na 2.53-2.59, 2 Hf 2.54

Raw total energy ... -5.46 eV/atom


Here is crystalline Si2AgOs at its relaxed geometry from the Open Quantum Materials Database. Energies are from PBE-GGA.

Unit cell a=5.8546 b=4.1074 c=5.0679 alpha=90.00 beta=90.00 gamma=90.00
Last column: nearest neighbours and their distance in Å.
Space group Pmma (No. 51)
Unique sites:
Si  0.0000  0.0000  0.0000 (multiplicity 2)  4 Os 2.52
Si  0.2500  0.0000  0.4980 (multiplicity 2)  4 Ag 2.52
Ag  0.0000  0.5000  0.5000 (multiplicity 2)  4 Si 2.52
Os  0.2500  0.5000  0.0011 (multiplicity 2)  4 Si 2.52

ΔE to the lowest computed polymorph ... 0 meV per atom


Here is crystalline Te2W at its relaxed geometry from the Open Quantum Materials Database. Energies are from PBE-GGA.

Unit cell a=3.4966 b=6.3281 c=7.7945 alpha=77.96 beta=77.16 gamma=89.95
Last column: nearest neighbours and their distance in Å.
Space group P-1 (No. 2)
Unique sites:
Te  0.1100  0.3476  0.2825 (multiplicity 2)  3 W 2.72-2.74
Te  0.3482  0.1224  0.8020 (multiplicity 2)  3 W 2.84
W  0.2568  0.6814  0.9860 (multiplicity 2)  6 Te 2.72-2.84, 2 W 2.86

Raw total energy ... -6.52 eV/atom


Results for total magnetic moment: 0.01; 0.04; 0.00 (in μB/cell, following the order of the records).